{
  "formula": "Pm3PrSm2Ho6",
  "functional": "GGA-PBE",
  "state": "relaxed",
  "formation_energy_ev_per_atom": 0.013,
  "n_ef_per_ev_cell": 13.699,
  "spacegroup": "C2/m (12)",
  "mass_density_g_cm3": 7.937,
  "total_energy_ev_per_cell": -55.78,
  "cell": [[6.228, 0.000, 0.006], [-3.113, 5.395, 0.006], [-1.047, -1.812, 11.617]],
  "species": ["Pm", "Pm", "Pm", "Pr", "Sm", "Sm", "Ho", "Ho", "Ho", "Ho", "Ho", "Ho"],
  "frac_coords": [[0.167, 0.833, 0.500], [0.833, 0.167, 0.500], [0.500, 0.500, 0.500], [0.000, 0.000, 0.000], [0.333, 0.667, 0.000], [0.667, 0.333, 0.000], [0.916, 0.583, 0.750], [0.750, 0.750, 0.250], [0.084, 0.417, 0.250], [0.583, 0.916, 0.750], [0.250, 0.250, 0.750], [0.417, 0.084, 0.250]]
}